Entry 1:
VASP calculation (PBE-GGA) on CaAgPb2 after structural relaxation.

Lattice parameters (Å, degrees): 11.3702 11.3702 11.3702 156.29 156.29 33.78
With the nearest neighbours (Å) after each atom.
Fractional positions:
Ca 0.0000 0.0000 0.0000  4 Pb 3.21, 4 Ag 3.30
Ca 0.7500 0.2500 0.5000  4 Pb 3.21, 4 Ag 3.30
Ag 0.2500 0.7500 0.5000  4 Pb 3.15, 4 Ca 3.30
Ag 0.5000 0.5000 0.0000  4 Pb 3.15, 4 Ca 3.30
Pb 0.1434 0.6250 0.0184  2 Ag 3.15, 4 Pb 3.18-3.43, 2 Ca 3.21
Pb 0.3750 0.3934 0.5184  2 Ag 3.15, 4 Pb 3.18-3.43, 2 Ca 3.21
Pb 0.6066 0.1250 0.9816  2 Ag 3.15, 4 Pb 3.18-3.43, 2 Ca 3.21
Pb 0.8750 0.8566 0.4816  2 Ag 3.15, 4 Pb 3.18-3.43, 2 Ca 3.21

DOS at the Fermi energy = 4.047 states/eV per cell
crystal system = tetragonal
formation energy from the elements = -0.36 eV/f.u.
M_tot = 0.000 μB per atom


Entry 2:
VASP calculation (PBE-GGA) on CaAgPb2 after structural relaxation.

Lattice parameters (Å, degrees): 6.2144 6.2144 6.2144 143.20 127.66 65.68
With the nearest neighbours (Å) after each atom.
Fractional positions:
Ca 0.0000 0.0000 0.0000  4 Ag 3.37, 8 Pb 3.50-3.59
Ag 0.5000 0.5000 0.0000  4 Pb 3.04, 4 Ca 3.37
Pb 0.2773 0.7773 0.5000  2 Ag 3.04
Pb 0.7227 0.2227 0.5000  2 Ag 3.04

DOS at the Fermi energy = 1.884 states/eV per cell
crystal system = orthorhombic
formation energy from the elements = -0.71 eV/f.u.
M_tot = 0.000 μB per atom


Entry 3:
VASP calculation (PBE-GGA) on CaAgPb2 after structural relaxation.

Lattice parameters (Å, degrees): 10.8001 10.8001 10.8001 153.67 121.59 65.16
With the nearest neighbours (Å) after each atom.
Fractional positions:
Ca 0.2015 0.0000 0.2015  6 Pb 3.56-3.81, 4 Ag 3.62
Ca 0.2034 0.2034 0.0000  8 Pb 3.33-3.67, 4 Ag 3.67
Ca 0.7966 0.7966 0.0000  8 Pb 3.33-3.67, 4 Ag 3.67
Ca 0.7985 0.0000 0.7985  6 Pb 3.56-3.81, 4 Ag 3.62
Ag 0.0936 0.3559 0.7377  4 Pb 2.76-2.96
Ag 0.3817 0.6441 0.7377  4 Pb 2.76-2.96
Ag 0.6183 0.3559 0.2623  4 Pb 2.76-2.96
Ag 0.9064 0.6441 0.2623  4 Pb 2.76-2.96
Pb 0.0804 0.5804 0.5000  2 Ag 2.76, 1 Pb 2.93
Pb 0.1567 0.8087 0.3481  3 Ag 2.85-3.13
Pb 0.4143 0.4143 0.0000  2 Ag 2.96, 1 Pb 3.12
Pb 0.4606 0.8087 0.6519  3 Ag 2.85-3.13
Pb 0.5394 0.1913 0.3481  3 Ag 2.85-3.13
Pb 0.5857 0.5857 0.0000  2 Ag 2.96, 1 Pb 3.12
Pb 0.8433 0.1913 0.6519  3 Ag 2.85-3.13
Pb 0.9196 0.4196 0.5000  2 Ag 2.76, 1 Pb 2.93

DOS at the Fermi energy = 6.381 states/eV per cell
crystal system = orthorhombic
formation energy from the elements = -0.81 eV/f.u.
M_tot = 0.000 μB per atom


Entry 4:
VASP calculation (PBE-GGA) on CaAgPb2 after structural relaxation.

Lattice parameters (Å, degrees): 9.2955 9.2955 9.2955 148.82 148.82 44.67
With the nearest neighbours (Å) after each atom.
Fractional positions:
Ca 0.1342 0.1342 0.0000  4 Ag 3.19, 8 Pb 3.40-3.54
Ca 0.8658 0.8658 0.0000  4 Ag 3.19, 8 Pb 3.40-3.54
Ag 0.2500 0.7500 0.5000  4 Pb 3.04, 4 Ca 3.19
Ag 0.7500 0.2500 0.5000  4 Pb 3.04, 4 Ca 3.19
Pb 0.0000 0.5000 0.5000  4 Ca 3.40, 8 Pb 3.53-3.58
Pb 0.3512 0.3512 0.0000  4 Ag 3.04
Pb 0.5000 0.0000 0.5000  4 Ca 3.40, 8 Pb 3.53-3.58
Pb 0.6488 0.6488 0.0000  4 Ag 3.04

DOS at the Fermi energy = 1.865 states/eV per cell
crystal system = tetragonal
formation energy from the elements = -1.15 eV/f.u.
M_tot = 0.000 μB per atom


Entry 5:
VASP calculation (PBE-GGA) on Ca3Ag2Pb after structural relaxation.

Lattice parameters (Å, degrees): 3.7459 3.7459 11.5553 90.00 90.00 90.00
With the nearest neighbours (Å) after each atom.
Fractional positions:
Ca 0.0000 0.0000 0.0000  8 Ag 3.22
Ca 0.0000 0.0000 0.3183  4 Ag 3.23, 4 Pb 3.38
Ca 0.0000 0.0000 0.6817  4 Ag 3.23, 4 Pb 3.38
Ag 0.5000 0.5000 0.1582  8 Ca 3.22-3.23
Ag 0.5000 0.5000 0.8418  8 Ca 3.22-3.23
Pb 0.5000 0.5000 0.5000  8 Ca 3.38, 4 Pb 3.75

DOS at the Fermi energy = 2.272 states/eV per cell
crystal system = tetragonal
ΔE to the lowest computed polymorph = 18 meV/atom
formation energy from the elements = -2.43 eV/f.u.
M_tot = 0.000 μB per atom


Entry 6:
VASP calculation (PBE-GGA) on Ca2AgPb after structural relaxation.

Lattice parameters (Å, degrees): 3.9715 4.6943 6.5492 90.00 90.00 90.00
With the nearest neighbours (Å) after each atom.
Fractional positions:
Ca 0.0000 0.0000 0.0000  2 Pb 3.16-3.39, 4 Ag 3.20
Ca 0.5000 0.5000 0.3645  4 Pb 3.23, 2 Ag 3.27-3.28
Ag 0.5000 0.5000 0.8634  6 Ca 3.20-3.28
Pb 0.0000 0.0000 0.5180  6 Ca 3.16-3.39

DOS at the Fermi energy = 1.354 states/eV per cell
crystal system = orthorhombic
formation energy from the elements = -1.03 eV/f.u.
M_tot = 0.000 μB per atom


Entry 7:
VASP calculation (PBE-GGA) on Ca2Ag3Pb after structural relaxation.

Lattice parameters (Å, degrees): 9.8474 9.2961 6.0628 76.56 66.66 36.78
With the nearest neighbours (Å) after each atom.
Fractional positions:
Ca 0.2428 0.7572 0.7572  10 Ag 3.27-3.40, 2 Pb 3.38, 1 Ca 3.52
Ca 0.2500 0.2500 0.2500  4 Pb 3.36, 8 Ag 3.36-3.41, 2 Ca 3.62
Ca 0.7500 0.7500 0.7500  4 Pb 3.36, 8 Ag 3.36-3.41, 2 Ca 3.62
Ca 0.7572 0.2428 0.2428  10 Ag 3.27-3.40, 2 Pb 3.38, 1 Ca 3.52
Ag 0.1641 0.6737 0.3263  2 Ag 2.78, 1 Pb 2.86
Ag 0.1648 0.1648 0.8352  2 Ag 2.78, 1 Pb 2.92
Ag 0.3263 0.8359 0.1641  2 Ag 2.78, 1 Pb 2.86
Ag 0.6737 0.1641 0.8359  2 Ag 2.78, 1 Pb 2.86
Ag 0.8352 0.8352 0.1648  2 Ag 2.78, 1 Pb 2.92
Ag 0.8359 0.3263 0.6737  2 Ag 2.78, 1 Pb 2.86
Pb 0.3351 0.3351 0.6649  3 Ag 2.86-2.92
Pb 0.6649 0.6649 0.3351  3 Ag 2.86-2.92

DOS at the Fermi energy = 2.909 states/eV per cell
crystal system = orthorhombic
ΔE to the lowest computed polymorph = 0 meV/atom
formation energy from the elements = -1.76 eV/f.u.
M_tot = 0.000 μB per atom


Entry 8:
VASP calculation (PBE-GGA) on CaAgPb2 after structural relaxation.

Lattice parameters (Å, degrees): 3.6806 5.0707 6.1321 90.00 98.40 90.00
With the nearest neighbours (Å) after each atom.
Fractional positions:
Ca 0.0000 0.0000 0.0000  4 Ag 3.28-3.36, 5 Pb 3.30-3.50
Ag 0.4742 0.5000 0.8179  4 Pb 3.01-3.33, 4 Ca 3.28-3.36
Pb 0.3367 0.0000 0.5296  2 Ag 3.09, 2 Pb 3.24, 2 Ca 3.30
Pb 0.6963 0.5000 0.3101  2 Ag 3.01-3.33, 2 Pb 3.24

DOS at the Fermi energy = 1.369 states/eV per cell
crystal system = monoclinic
formation energy from the elements = -0.74 eV/f.u.
M_tot = 0.000 μB per atom


Entry 9:
VASP calculation (PBE-GGA) on Ca8Ag2Pb after structural relaxation.

Lattice parameters (Å, degrees): 8.5018 8.5018 5.7697 98.47 98.47 112.51
With the nearest neighbours (Å) after each atom.
Fractional positions:
Ca 0.0000 0.0000 0.0000  2 Ag 3.21, 1 Pb 3.43
Ca 0.0497 0.3064 0.6008  2 Ag 3.13-3.20
Ca 0.1389 0.6129 0.1882  2 Ag 3.09, 1 Pb 3.35
Ca 0.3064 0.0497 0.6008  2 Ag 3.13-3.20
Ca 0.4454 0.7020 0.7757  2 Ag 3.13-3.20
Ca 0.6129 0.1389 0.1882  2 Ag 3.09, 1 Pb 3.35
Ca 0.7020 0.4454 0.7757  2 Ag 3.13-3.20
Ca 0.7517 0.7517 0.3764  2 Ag 3.21, 1 Pb 3.43
Ag 0.0602 0.6915 0.6882  8 Ca 3.09-3.21
Ag 0.6915 0.0602 0.6882  8 Ca 3.09-3.21
Pb 0.3759 0.3759 0.1874  4 Ca 3.35-3.43

DOS at the Fermi energy = 7.913 states/eV per cell
crystal system = monoclinic
formation energy from the elements = -2.47 eV/f.u.
M_tot = 0.000 μB per atom


Entry 10:
VASP calculation (PBE-GGA) on Ca2AgPb after structural relaxation.

Lattice parameters (Å, degrees): 6.6003 6.6003 6.6003 146.35 133.65 58.49
With the nearest neighbours (Å) after each atom.
Fractional positions:
Ca 0.0000 0.0000 0.0000  4 Ag 3.23, 2 Ca 3.56
Ca 0.7117 0.2117 0.5000  2 Ag 3.22, 4 Pb 3.31, 2 Ca 3.56
Ag 0.4866 0.4866 0.0000  2 Pb 3.07, 6 Ca 3.22-3.23
Pb 0.2777 0.7777 0.5000  2 Ag 3.07, 4 Ca 3.31

DOS at the Fermi energy = 1.646 states/eV per cell
crystal system = orthorhombic
formation energy from the elements = -1.38 eV/f.u.
M_tot = 0.000 μB per atom


Entry 11:
VASP calculation (PBE-GGA) on Ca2AgPb after structural relaxation.

Lattice parameters (Å, degrees): 6.2667 6.2667 5.4079 105.84 105.84 34.11
With the nearest neighbours (Å) after each atom.
Fractional positions:
Ca 0.0000 0.0000 0.0000  4 Ag 3.22-3.36, 3 Pb 3.29-3.51, 1 Ca 3.55
Ca 0.2075 0.2075 0.6447  3 Ag 3.28-3.47, 4 Pb 3.31-3.35, 2 Ca 3.55-3.66
Ag 0.4713 0.4713 0.4973  2 Pb 3.19, 7 Ca 3.22-3.47
Pb 0.7607 0.7607 0.1828  2 Ag 3.19, 7 Ca 3.29-3.51

DOS at the Fermi energy = 1.821 states/eV per cell
crystal system = monoclinic
formation energy from the elements = -1.40 eV/f.u.
M_tot = 0.000 μB per atom


Entry 12:
VASP calculation (PBE-GGA) on Ca4AgPb2 after structural relaxation.

Lattice parameters (Å, degrees): 9.3722 9.3722 9.3722 33.40 33.40 33.40
With the nearest neighbours (Å) after each atom.
Fractional positions:
Ca 0.1240 0.1240 0.1240  4 Pb 3.28-3.31, 1 Ag 3.29
Ca 0.3741 0.3741 0.3741  3 Ag 3.29, 4 Pb 3.32
Ca 0.6259 0.6259 0.6259  3 Ag 3.29, 4 Pb 3.32
Ca 0.8760 0.8760 0.8760  4 Pb 3.28-3.31, 1 Ag 3.29
Ag 0.0000 0.0000 0.0000  8 Ca 3.29
Pb 0.2490 0.2490 0.2490  8 Ca 3.28-3.32
Pb 0.7510 0.7510 0.7510  8 Ca 3.28-3.32

DOS at the Fermi energy = 2.100 states/eV per cell
crystal system = trigonal
formation energy from the elements = -3.31 eV/f.u.
M_tot = 0.000 μB per atom


Question: What is the formation energy from the elements in the fifth record?
Answer: -2.43 eV/f.u.


Question: What is the formation energy from the elements in the tenth record?
Answer: -1.38 eV/f.u.